(1)
A geometry-optimized DyY2Tl3AgIr2 structure, computed with PBE.

```
9
Lattice="3.803 0.000 0.000 0.000 6.781 3.930 0.000 -6.781 3.930" Properties=species:S:1:pos:R:3 pbc="T T T"
Ag 0.000 0.000 7.854
Dy 0.000 0.000 4.624
Ir 1.902 2.238 3.939
Ir 1.902 -2.238 3.939
Tl 1.902 4.933 2.865
Tl 1.902 0.000 2.126
Tl 1.902 -4.933 2.865
Y 0.000 2.782 1.613
Y 0.000 -2.782 1.613
```

Summary:
Electronic total energy in eV/atom: -5.4527
Crystal system: orthorhombic
Space group: Amm2 (38)


(2)
A geometry-optimized KDyAg structure, computed with PBE.

```
3
Lattice="3.131 1.170 3.965 -1.444 -1.103 4.857 2.391 -3.783 2.620" Properties=species:S:1:pos:R:3 pbc="T T T"
Ag 1.019 -0.929 2.861
Dy 3.058 -2.787 8.582
K 0.000 0.000 0.000
```

Summary:
Electronic total energy in eV/atom: -1.8685
Crystal system: cubic
Space group: F-43m (216)


(3)
A geometry-optimized KDyAgSe3 structure, computed with PBE.

```
12
Lattice="0.048 6.802 -3.868 -1.778 -7.618 0.214 -9.709 2.381 4.067" Properties=species:S:1:pos:R:3 pbc="T T T"
Ag -4.142 -6.520 1.089
Ag -7.298 8.085 -0.676
Dy -0.865 -0.408 -1.827
Dy -5.720 0.783 0.207
K -2.841 3.757 -1.821
K -8.599 -2.192 2.234
Se -2.014 -5.636 -0.116
Se -3.431 -0.905 -0.501
Se -5.924 -4.677 1.522
Se -5.516 6.243 -1.109
Se -8.009 2.471 0.914
Se -9.425 7.201 0.529
```

Summary:
Electronic total energy in eV/atom: -4.2824
Crystal system: orthorhombic
Space group: Cmcm (63)


(4)
A geometry-optimized KDyAgSe3 structure, computed with PBE.

```
24
Lattice="14.931 0.000 0.000 0.000 4.155 0.000 0.000 0.000 11.089" Properties=species:S:1:pos:R:3 pbc="T T T"
Ag 7.203 3.116 1.056
Ag 14.668 3.116 4.488
Ag 0.262 1.039 6.601
Ag 7.728 1.039 10.033
Dy 14.552 1.039 1.754
Dy 7.087 1.039 3.790
Dy 7.844 3.116 7.299
Dy 0.378 3.116 9.334
K 3.977 1.039 0.461
K 11.442 1.039 5.084
K 3.488 3.116 6.005
K 10.954 3.116 10.628
Se 1.426 3.116 0.884
Se 8.825 1.039 1.429
Se 12.776 3.116 2.643
Se 5.311 3.116 2.902
Se 1.360 1.039 4.115
Se 8.891 3.116 4.660
Se 6.039 1.039 6.429
Se 13.570 3.116 6.974
Se 9.619 1.039 8.187
Se 2.154 1.039 8.446
Se 6.105 3.116 9.660
Se 13.505 1.039 10.205
```

Summary:
Electronic total energy in eV/atom: -4.2870
Crystal system: orthorhombic
Space group: Pnma (62)


(5)
A geometry-optimized LaDyAg structure, computed with PBE.

```
3
Lattice="0.000 3.541 3.541 3.541 0.000 3.541 3.541 3.541 0.000" Properties=species:S:1:pos:R:3 pbc="T T T"
Ag 1.771 1.771 1.771
Dy 0.000 0.000 0.000
La 5.312 5.312 5.312
```

Summary:
Electronic total energy in eV/atom: -3.7486
Crystal system: cubic
Space group: F-43m (216)


(6)
A geometry-optimized LaDyAg2Sb4 structure, computed with PBE.

```
8
Lattice="-1.278 0.916 4.101 -3.191 -3.000 -0.325 6.615 -7.440 3.722" Properties=species:S:1:pos:R:3 pbc="T T T"
Ag 2.630 -3.219 3.890
Ag 1.674 -5.177 1.677
Dy 1.588 -1.786 0.893
La 2.822 -6.729 4.733
Sb -0.579 0.390 2.084
Sb -1.536 -1.567 -0.129
Sb -0.146 -3.391 3.063
Sb 4.456 -5.011 2.507
```

Summary:
Electronic total energy in eV/atom: -4.6395
Crystal system: tetragonal
Space group: P4mm (99)


(7)
A geometry-optimized DyLuAg structure, computed with PBE.

```
3
Lattice="-0.740 -4.694 0.973 -4.400 -1.533 1.347 -2.652 -2.714 -3.021" Properties=species:S:1:pos:R:3 pbc="T T T"
Ag -1.948 -2.235 -0.176
Dy -5.845 -6.706 -0.527
Lu 0.000 0.000 0.000
```

Summary:
Electronic total energy in eV/atom: -3.4231
Crystal system: cubic
Space group: F-43m (216)


(8)
A geometry-optimized DyLuAg2Sn2 structure, computed with PBE.

```
6
Lattice="4.713 0.000 0.000 -2.357 4.082 0.000 0.000 0.000 7.269" Properties=species:S:1:pos:R:3 pbc="T T T"
Ag 2.357 1.361 3.240
Ag 0.000 2.721 6.921
Dy 0.000 0.000 5.530
Lu 0.000 0.000 1.903
Sn 2.357 1.361 0.305
Sn 0.000 2.721 3.909
```

Summary:
Electronic total energy in eV/atom: -4.3572
Crystal system: trigonal
Space group: P3m1 (156)


(9)
A geometry-optimized DyMg2Ag structure, computed with PBE.

```
4
Lattice="4.143 0.000 0.000 0.000 4.688 0.000 0.000 0.000 4.689" Properties=species:S:1:pos:R:3 pbc="T T T"
Ag 0.000 2.344 1.183
Dy 0.000 0.000 3.502
Mg 2.071 0.000 1.156
Mg 2.071 2.344 3.536
```

Summary:
Electronic total energy in eV/atom: -2.6844
Crystal system: orthorhombic
Space group: Pmm2 (25)


(10)
A geometry-optimized DyMgAgS3 structure, computed with PBE.

```
12
Lattice="3.769 0.000 0.000 1.884 6.259 0.000 0.000 0.000 10.572" Properties=species:S:1:pos:R:3 pbc="T T T"
Ag 3.769 6.049 2.643
Ag 1.884 0.209 7.929
Dy 0.000 0.000 0.000
Dy 0.000 0.000 5.286
Mg 1.884 3.319 2.643
Mg 3.769 2.940 7.929
S 3.769 4.434 0.769
S 3.769 1.500 2.643
S 3.769 4.434 4.517
S 1.884 1.824 6.055
S 1.884 4.759 7.929
S 1.884 1.824 9.804
```

Summary:
Electronic total energy in eV/atom: -4.7218
Crystal system: orthorhombic
Space group: Cmcm (63)


Question: Which of these has the lowest electronic total energy?
Answer: DyY2Tl3AgIr2